Material: CsK2S
Method: DFT, PBE
State: optimized geometry

Output
**Formation energy from raw total energies**: -0.53 eV/atom

Cell lengths 9.703, 9.703, 13.390 Å; angles 90.00, 90.00, 90.00 degrees
Space group I-42d (No. 122)
Symmetry-distinct sites (fractional):
Cs 0.000 0.000 0.000 [4 per cell]
K 0.015 0.250 0.625 [8 per cell]
S 0.000 0.000 0.500 [4 per cell]